Crystalline TaBe2Au2 at its relaxed geometry. Source: OQMD, functional PBE.

Results
The space group is I4/mmm, No. 139. For the electronic total energy, the calculation gives -4.951 eV/atom. Its total magnetization is 0.1 μB/f.u.

a b c (Å): 3.8544 3.8544 10.0202
angles (deg): 90.00 90.00 90.00
Closest atoms and distances in Å follow each position.
Atoms (fractional coordinates):
Ta1 0.0000 0.0000 0.0000  8 Au 3.02, 8 Be 3.16
Ta2 0.5000 0.5000 0.5000  8 Au 3.02, 8 Be 3.16
Be1 0.0000 0.5000 0.2500  4 Au 2.27
Be2 0.0000 0.5000 0.7500  4 Au 2.27
Be3 0.5000 0.0000 0.2500  4 Au 2.27
Be4 0.5000 0.0000 0.7500  4 Au 2.27
Au1 0.0000 0.0000 0.3705  4 Be 2.27
Au2 0.0000 0.0000 0.6295  4 Be 2.27
Au3 0.5000 0.5000 0.1295  4 Be 2.27
Au4 0.5000 0.5000 0.8705  4 Be 2.27